Entry 1:
Entry from OQMD: Pr2YSn3Pd3 after structural relaxation (GGA-PBE).

**Calculated total energy**: -51.80 eV per cell
**Volume**: 207.8 Å³/cell

Cell lengths 4.1167, 7.6305, 7.6305 Å; angles 119.89, 90.00, 90.00 degrees
Positions (direct):
1 Pd 0.5000 0.6641 0.3396
2 Pd 0.5000 0.3396 0.6641
3 Pd 0.0000 0.9953 0.9953
4 Pr 0.0000 0.4117 0.0007
5 Pr 0.0000 0.0007 0.4117
6 Sn 0.5000 0.2546 0.2546
7 Sn 0.5000 0.9967 0.7458
8 Sn 0.5000 0.7458 0.9967
9 Y 0.0000 0.5914 0.5914

Entry 2:
Entry from OQMD: PrYSn2Pd4 after structural relaxation (GGA-PBE).

**Calculated total energy**: -46.82 eV per cell
**Volume**: 168.8 Å³/cell

Cell lengths 4.6232, 4.6232, 9.1185 Å; angles 90.00, 90.00, 120.00 degrees
Positions (direct):
1 Pd 0.6667 0.3333 0.1725
2 Pd 0.0000 0.0000 0.3382
3 Pd 0.0000 0.0000 0.6618
4 Pd 0.6667 0.3333 0.8275
5 Pr 0.0000 0.0000 0.0000
6 Sn 0.3333 0.6667 0.2594
7 Sn 0.3333 0.6667 0.7406
8 Y 0.6667 0.3333 0.5000

Entry 3:
Entry from OQMD: Pr3Zn2Sn4Pd2 after structural relaxation (GGA-PBE).

**Calculated total energy**: -50.30 eV per cell
**Volume**: 270.4 Å³/cell

Cell lengths 14.1417, 14.1417, 14.1417 Å; angles 162.81, 161.12, 25.64 degrees
Positions (direct):
1 Pd 0.4044 0.4044 0.0000
2 Pd 0.5956 0.5956 0.0000
3 Pr 0.1460 0.1460 0.0000
4 Pr 0.8540 0.8540 0.0000
5 Pr 0.5000 0.0000 0.5000
6 Sn 0.3092 0.3092 0.0000
7 Sn 0.6908 0.6908 0.0000
8 Sn 0.9488 0.4488 0.5000
9 Sn 0.0512 0.5512 0.5000
10 Zn 0.7528 0.2528 0.5000
11 Zn 0.2472 0.7472 0.5000

Entry 4:
Entry from OQMD: Sr2PrPd2 after structural relaxation (GGA-PBE).

**Calculated total energy**: -19.75 eV per cell
**Volume**: 145.6 Å³/cell

Cell lengths 4.6401, 4.6401, 7.5154 Å; angles 107.98, 107.98, 90.00 degrees
Positions (direct):
1 Pd 0.5971 0.5971 0.1943
2 Pd 0.4029 0.4029 0.8057
3 Pr 0.0000 0.0000 0.0000
4 Sr 0.7500 0.2500 0.5000
5 Sr 0.2500 0.7500 0.5000

Entry 5:
Entry from OQMD: SrPrPd2 after structural relaxation (GGA-PBE).

**Calculated total energy**: -19.53 eV per cell
**Volume**: 103.3 Å³/cell

Cell lengths 4.6487, 5.9258, 5.9258 Å; angles 39.28, 90.00, 90.00 degrees
Positions (direct):
1 Pd 0.0000 0.0842 0.0842
2 Pd 0.5000 0.9225 0.9225
3 Pr 0.5000 0.6336 0.6336
4 Sr 0.0000 0.3597 0.3597

Entry 6:
Entry from OQMD: TbPrPd2 after structural relaxation (GGA-PBE).

**Calculated formation energy**: -81.7 kJ/mol of atoms
**Volume**: 95.2 Å³/cell

Cell lengths 4.6078, 5.7226, 5.7226 Å; angles 39.11, 90.00, 90.00 degrees
Positions (direct):
1 Pd 0.0000 0.0864 0.0864
2 Pd 0.5000 0.9133 0.9133
3 Pr 0.5000 0.6369 0.6369
4 Tb 0.0000 0.3635 0.3635

Look up the volume of the fourth one.
145.6 Å³/cell

Which of these has the lowest volume?
TbPrPd2

Please write out number 3 again, unchanged.
Entry from OQMD: Pr3Zn2Sn4Pd2 after structural relaxation (GGA-PBE).

**Calculated total energy**: -50.30 eV per cell
**Volume**: 270.4 Å³/cell

Cell lengths 14.1417, 14.1417, 14.1417 Å; angles 162.81, 161.12, 25.64 degrees
Positions (direct):
1 Pd 0.4044 0.4044 0.0000
2 Pd 0.5956 0.5956 0.0000
3 Pr 0.1460 0.1460 0.0000
4 Pr 0.8540 0.8540 0.0000
5 Pr 0.5000 0.0000 0.5000
6 Sn 0.3092 0.3092 0.0000
7 Sn 0.6908 0.6908 0.0000
8 Sn 0.9488 0.4488 0.5000
9 Sn 0.0512 0.5512 0.5000
10 Zn 0.7528 0.2528 0.5000
11 Zn 0.2472 0.7472 0.5000